The following is a DFT calculation (PBE) of a relaxed CePtAu crystal.

Output
- Offset from the most stable computed form: 133 meV/atom

Cell lengths 6.6726, 6.6726, 6.6726 Å; angles 90.00, 90.00, 90.00 degrees
Space group F-43m (No. 216)
Symmetry-distinct sites (fractional):
Ce1 0.0000 0.0000 0.0000 [4 per cell]
Pt1 0.2500 0.2500 0.2500 [4 per cell]
Au1 0.0000 0.0000 0.5000 [4 per cell]

***

The following is a DFT calculation (PBE) of a relaxed Nd3Sm2Y3 crystal.

Output
- Offset from the most stable computed form: 0 meV/atom

Cell lengths 16.3833, 5.8270, 6.0917 Å; angles 90.00, 110.36, 90.00 degrees
Space group C2/m (No. 12)
Symmetry-distinct sites (fractional):
Nd1 0.0000 0.0000 0.0000 [2 per cell]
Nd2 0.1343 0.0000 0.6930 [4 per cell]
Sm1 0.2494 0.0000 0.3172 [4 per cell]
Y1 0.0000 0.5000 0.5000 [2 per cell]
Y2 0.1310 0.5000 0.0819 [4 per cell]

***

The following is a DFT calculation (PBE) of a relaxed La3Be2Ge4 crystal.

Output
- Energy: -0.3840 Ry per atom

Cell lengths 11.4114, 4.0786, 8.3564 Å; angles 90.00, 96.22, 90.00 degrees
Space group C2/m (No. 12)
Symmetry-distinct sites (fractional):
La1 0.0000 0.0000 0.0000 [2 per cell]
La2 0.1632 0.5000 0.6670 [4 per cell]
Be1 0.1083 0.5000 0.2819 [4 per cell]
Ge1 0.0638 0.0000 0.3810 [4 per cell]
Ge2 0.2133 0.5000 0.0684 [4 per cell]

***

The following is a DFT calculation (PBE) of a relaxed RbAg2O3 crystal.

Output
- Formation energy from raw total energies: -28.7 kJ/mol of atoms

Cell lengths 6.6289, 6.6289, 18.8279 Å; angles 90.00, 90.00, 120.00 degrees
Space group R-3m (No. 166, hexagonal axes)
Symmetry-distinct sites (fractional):
Rb1 0.0000 0.0000 0.1677 [6 per cell]
Ag1 0.0000 0.0000 0.0000 [3 per cell]
Ag2 0.0000 0.5000 0.0000 [9 per cell]
O1 0.0213 0.5107 0.2812 [18 per cell]

***

The following is a DFT calculation (PBE) of a relaxed Lu2ScPb crystal.

Output
- Offset from the most stable computed form: 0 meV/atom

Cell lengths 4.7227, 4.7227, 4.6861 Å; angles 90.00, 90.00, 90.00 degrees
Space group P4/mmm (No. 123)
Symmetry-distinct sites (fractional):
Lu1 0.0000 0.5000 0.0000 [2 per cell]
Sc1 0.0000 0.0000 0.5000 [1 per cell]
Pb1 0.5000 0.5000 0.5000 [1 per cell]

***

The following is a DFT calculation (PBE) of a relaxed Nd5Y6Ho crystal.

Output
- Energy: -0.4108 Ry per atom

Cell lengths 6.2684, 10.8533, 11.9005 Å; angles 90.00, 100.07, 90.00 degrees
Space group C2/m (No. 12)
Symmetry-distinct sites (fractional):
Nd1 0.0000 0.0000 0.0000 [2 per cell]
Nd2 0.0000 0.1667 0.5000 [4 per cell]
Nd3 0.0000 0.3333 0.0000 [4 per cell]
Y1 0.2489 0.3336 0.7489 [8 per cell]
Y2 0.2499 0.0000 0.7490 [4 per cell]
Ho1 0.0000 0.5000 0.5000 [2 per cell]

***

The following is a DFT calculation (PBE) of a relaxed Na3As4Pd7 crystal.

Output
- Energy: -0.3410 Ry per atom

Cell lengths 15.8233, 4.0836, 9.4244 Å; angles 90.00, 125.05, 90.00 degrees
Space group C2/m (No. 12)
Symmetry-distinct sites (fractional):
Na1 0.0000 0.0000 0.0000 [2 per cell]
Na2 0.1697 0.5000 0.6663 [4 per cell]
As1 0.1081 0.0000 0.8244 [4 per cell]
As2 0.1660 0.5000 0.2678 [4 per cell]
Pd1 0.0000 0.0000 0.5000 [2 per cell]
Pd2 0.0120 0.5000 0.2778 [4 per cell]
Pd3 0.1717 0.0000 0.4258 [4 per cell]
Pd4 0.1969 0.5000 0.0323 [4 per cell]

***

The following is a DFT calculation (PBE) of a relaxed Li2ScIn crystal.

Output
- Energy: -0.2352 Ry per atom

Cell lengths 4.1627, 4.1627, 20.8040 Å; angles 90.00, 90.00, 90.00 degrees
Space group I-42d (No. 122)
Symmetry-distinct sites (fractional):
Li1 0.2076 0.2500 0.1250 [8 per cell]
Sc1 0.0000 0.0000 0.5000 [4 per cell]
In1 0.0000 0.0000 0.0000 [4 per cell]

***

The following is a DFT calculation (PBE) of a relaxed Zn2CdAu crystal.

Output
- Offset from the most stable computed form: 146 meV/atom

Cell lengths 7.7136, 7.7136, 5.4006 Å; angles 90.00, 90.00, 90.00 degrees
Space group I-42d (No. 122)
Symmetry-distinct sites (fractional):
Zn1 0.2179 0.2500 0.1250 [8 per cell]
Cd1 0.0000 0.0000 0.5000 [4 per cell]
Au1 0.0000 0.0000 0.0000 [4 per cell]

***

The following is a DFT calculation (PBE) of a relaxed ScCl2 crystal.

Output
- Formation energy from raw total energies: -177.7 kJ/mol of atoms

Cell lengths 14.0306, 3.5085, 6.6319 Å; angles 90.00, 91.98, 90.00 degrees
Space group Cm (No. 8)
Symmetry-distinct sites (fractional):
Sc1 0.0000 0.0000 0.0000 [2 per cell]
Sc2 0.0500 0.5000 0.4149 [2 per cell]
Cl1 0.1309 0.5000 0.0751 [2 per cell]
Cl2 0.1544 0.0000 0.5849 [2 per cell]
Cl3 0.4002 0.0000 0.1902 [2 per cell]
Cl4 0.4390 0.0000 0.7204 [2 per cell]

***

The following is a DFT calculation (PBE) of a relaxed Si2NiP crystal.

Output
- Formation energy from raw total energies: 31.2 kJ/mol of atoms

Cell lengths 3.4642, 3.4642, 4.4989 Å; angles 90.00, 90.00, 90.00 degrees
Space group P4/mmm (No. 123)
Symmetry-distinct sites (fractional):
Si1 0.0000 0.5000 0.0000 [2 per cell]
Ni1 0.0000 0.0000 0.5000 [1 per cell]
P1 0.5000 0.5000 0.5000 [1 per cell]

***

The following is a DFT calculation (PBE) of a relaxed Tl2Pd2Cl crystal.

Output
- Formation energy from raw total energies: -21.0 kJ/mol of atoms
- Offset from the most stable computed form: 0 meV/atom

Cell lengths 8.0204, 8.0204, 3.3374 Å; angles 90.00, 90.00, 90.00 degrees
Space group P4/mbm (No. 127)
Symmetry-distinct sites (fractional):
Tl1 0.1781 0.3219 0.0000 [4 per cell]
Pd1 0.1217 0.6217 0.5000 [4 per cell]
Cl1 0.0000 0.0000 0.5000 [2 per cell]

***

Table of theoretical density (kg/m3), in record order: 11898 6092 6230 4856 9566 5914 7418 3200 9099 2359 4485 10164